The following is a PBE-GGA calculation of a geometry-optimized HfNi2Pd2 structure, from Alexandria via LeMat-Bulk.

## Properties
ΔH_f (0 K), eV per atom: -0.200
DFT total energy, eV/cell: -65.8
Energy above the most stable polymorph in this dataset, eV per atom: 0.112

```
data_HfNi2Pd2
_chemical_formula_sum 'Hf2 Ni4 Pd4'
_cell_length_a 7.089
_cell_length_b 7.089
_cell_length_c 2.969
_cell_angle_alpha 90.00
_cell_angle_beta 90.00
_cell_angle_gamma 90.00
_space_group_name_H-M_alt 'P 4/m b m'
_space_group_IT_number 127
_space_group_name_Hall '-P 4 2ab'
loop_
_atom_site_label
_atom_site_type_symbol
_atom_site_fract_x
_atom_site_fract_y
_atom_site_fract_z
Hf1 Hf 0.000 0.000 0.000
Ni1 Ni 0.160 0.340 0.500
Pd1 Pd 0.137 0.637 0.000
```

=====

The following is a PBE-GGA calculation of a geometry-optimized Pr5Nd12Ho2 structure, from Alexandria via LeMat-Bulk.

## Properties
ΔH_f (0 K), eV per atom: 0.130
DFT total energy, eV/cell: -175.6
Energy above the most stable polymorph in this dataset, eV per atom: 0.000

```
data_Pr5Nd12Ho2
_chemical_formula_sum 'Pr10 Nd24 Ho4'
_cell_length_a 22.697
_cell_length_b 7.225
_cell_length_c 8.872
_cell_angle_alpha 90.00
_cell_angle_beta 110.45
_cell_angle_gamma 90.00
_space_group_name_H-M_alt 'C 1 2/m 1'
_space_group_IT_number 12
loop_
_space_group_symop_operation_xyz
'x,y,z'
'-x,-y,-z'
'-x,y,-z'
'x,-y,z'
'x+1/2,y+1/2,z'
'-x+1/2,-y+1/2,-z'
'-x+1/2,y+1/2,-z'
'x+1/2,-y+1/2,z'
loop_
_atom_site_label
_atom_site_type_symbol
_atom_site_fract_x
_atom_site_fract_y
_atom_site_fract_z
Pr1 Pr 0.000 0.000 0.000
Pr2 Pr 0.149 0.500 0.595
Pr3 Pr 0.248 0.000 0.989
Nd1 Nd 0.048 0.500 0.196
Nd2 Nd 0.105 0.257 0.883
Nd3 Nd 0.141 0.000 0.556
Nd4 Nd 0.201 0.253 0.294
Ho1 Ho 0.000 0.258 0.500
```

=====

The following is a PBE-GGA calculation of a geometry-optimized TaFeCo2 structure, from Alexandria via LeMat-Bulk.

## Properties
ΔH_f (0 K), eV per atom: -0.118
DFT total energy, eV/cell: -70.0
Energy above the most stable polymorph in this dataset, eV per atom: 0.055

```
data_TaFeCo2
_chemical_formula_sum 'Ta2 Fe2 Co4'
_cell_length_a 3.612
_cell_length_b 3.612
_cell_length_c 7.701
_cell_angle_alpha 90.00
_cell_angle_beta 90.00
_cell_angle_gamma 90.00
_space_group_name_H-M_alt 'I -4 m 2'
_space_group_IT_number 119
_space_group_name_Hall 'I -4 -2'
loop_
_atom_site_label
_atom_site_type_symbol
_atom_site_fract_x
_atom_site_fract_y
_atom_site_fract_z
Ta1 Ta 0.000 0.000 0.000
Fe1 Fe 0.000 0.500 0.750
Co1 Co 0.000 0.000 0.500
Co2 Co 0.000 0.500 0.250
```

=====

The following is a PBE-GGA calculation of a geometry-optimized VFe2ReI structure, from Alexandria via LeMat-Bulk.

## Properties
DFT total energy, eV/cell: -30.1

```
data_VFe2ReI
_chemical_formula_sum 'V1 Fe2 Re1 I1'
_cell_length_a 4.408
_cell_length_b 4.408
_cell_length_c 5.271
_cell_angle_alpha 90.00
_cell_angle_beta 90.00
_cell_angle_gamma 90.00
_space_group_name_H-M_alt 'P 4/m m m'
_space_group_IT_number 123
_space_group_name_Hall '-P 4 2'
loop_
_atom_site_label
_atom_site_type_symbol
_atom_site_fract_x
_atom_site_fract_y
_atom_site_fract_z
V1 V 0.000 0.000 0.000
Fe1 Fe 0.000 0.500 0.500
Re1 Re 0.500 0.500 0.500
I1 I 0.500 0.500 0.000
```

=====

The following is a PBE-GGA calculation of a geometry-optimized Ti2OsAu structure, from Alexandria via LeMat-Bulk.

## Properties
ΔH_f (0 K), eV per atom: -0.490
DFT total energy, eV/cell: -32.3

```
data_Ti2OsAu
_chemical_formula_sum 'Ti2 Os1 Au1'
_cell_length_a 3.047
_cell_length_b 3.047
_cell_length_c 6.956
_cell_angle_alpha 90.00
_cell_angle_beta 90.00
_cell_angle_gamma 90.00
_space_group_name_H-M_alt 'P 4/m m m'
_space_group_IT_number 123
_space_group_name_Hall '-P 4 2'
loop_
_atom_site_label
_atom_site_type_symbol
_atom_site_fract_x
_atom_site_fract_y
_atom_site_fract_z
Ti1 Ti 0.000 0.000 0.224
Os1 Os 0.500 0.500 0.000
Au1 Au 0.500 0.500 0.500
```

=====

The following is a PBE-GGA calculation of a geometry-optimized Ac2TmGa3Ir4 structure, from Alexandria via LeMat-Bulk.

## Properties
ΔH_f (0 K), eV per atom: -0.736
DFT total energy, eV/cell: -64.6

```
data_Ac2TmGa3Ir4
_chemical_formula_sum 'Ac2 Tm1 Ga3 Ir4'
_cell_length_a 4.357
_cell_length_b 4.357
_cell_length_c 11.141
_cell_angle_alpha 90.00
_cell_angle_beta 90.00
_cell_angle_gamma 90.00
_space_group_name_H-M_alt 'P -4 m 2'
_space_group_IT_number 115
loop_
_space_group_symop_operation_xyz
'x,y,z'
'y,-x,-z'
'-x,-y,z'
'-y,x,-z'
'-x,y,z'
'-y,-x,-z'
'x,-y,z'
'y,x,-z'
loop_
_atom_site_label
_atom_site_type_symbol
_atom_site_fract_x
_atom_site_fract_y
_atom_site_fract_z
Ac1 Ac 0.000 0.500 0.228
Tm1 Tm 0.000 0.000 0.500
Ga1 Ga 0.000 0.500 0.885
Ga2 Ga 0.500 0.500 0.500
Ir1 Ir 0.000 0.000 0.000
Ir2 Ir 0.000 0.500 0.652
Ir3 Ir 0.500 0.500 0.000
```

=====

The following is a PBE-GGA calculation of a geometry-optimized Sb4IrRu structure, from Alexandria via LeMat-Bulk.

## Properties
DFT total energy, eV/cell: -70.5
Energy above the most stable polymorph in this dataset, eV per atom: 0.000

```
data_Sb4IrRu
_chemical_formula_sum 'Sb8 Ir2 Ru2'
_cell_length_a 6.489
_cell_length_b 6.478
_cell_length_c 6.478
_cell_angle_alpha 90.00
_cell_angle_beta 90.26
_cell_angle_gamma 90.00
_space_group_name_H-M_alt 'P 1 21/c 1'
_space_group_IT_number 14
loop_
_space_group_symop_operation_xyz
'x,y,z'
'-x,-y,-z'
'-x,y+1/2,-z+1/2'
'x,-y+1/2,z+1/2'
loop_
_atom_site_label
_atom_site_type_symbol
_atom_site_fract_x
_atom_site_fract_y
_atom_site_fract_z
Sb1 Sb 0.128 0.132 0.369
Sb2 Sb 0.368 0.628 0.371
Ir1 Ir 0.500 0.000 0.500
Ru1 Ru 0.000 0.000 0.000
```

=====

The following is a PBE-GGA calculation of a geometry-optimized Ba2TlH structure, from Alexandria via LeMat-Bulk.

## Properties
DFT total energy, eV/cell: -44.4
Energy above the most stable polymorph in this dataset, eV per atom: 0.000

```
data_Ba2TlH
_chemical_formula_sum 'Ba8 Tl4 H4'
_cell_length_a 6.163
_cell_length_b 14.964
_cell_length_c 6.149
_cell_angle_alpha 90.00
_cell_angle_beta 90.00
_cell_angle_gamma 90.00
_space_group_name_H-M_alt 'C c c m'
_space_group_IT_number 66
_space_group_name_Hall '-C 2 2c'
loop_
_atom_site_label
_atom_site_type_symbol
_atom_site_fract_x
_atom_site_fract_y
_atom_site_fract_z
Ba1 Ba 0.228 0.108 0.000
Tl1 Tl 0.250 0.250 0.500
H1 H 0.000 0.000 0.250
```

=====

The following is a PBE-GGA calculation of a geometry-optimized HoNpO6 structure, from Alexandria via LeMat-Bulk.

## Properties
DFT total energy, eV/cell: -130.1

```
data_HoNpO6
_chemical_formula_sum 'Ho2 Np2 O12'
_cell_length_a 5.748
_cell_length_b 6.943
_cell_length_c 5.556
_cell_angle_alpha 90.00
_cell_angle_beta 108.80
_cell_angle_gamma 90.00
_space_group_name_H-M_alt 'C 1 2/m 1'
_space_group_IT_number 12
loop_
_space_group_symop_operation_xyz
'x,y,z'
'-x,-y,-z'
'-x,y,-z'
'x,-y,z'
'x+1/2,y+1/2,z'
'-x+1/2,-y+1/2,-z'
'-x+1/2,y+1/2,-z'
'x+1/2,-y+1/2,z'
loop_
_atom_site_label
_atom_site_type_symbol
_atom_site_fract_x
_atom_site_fract_y
_atom_site_fract_z
Ho1 Ho 0.000 0.000 0.000
Np1 Np 0.000 0.500 0.500
O1 O 0.088 0.000 0.439
O2 O 0.126 0.321 0.780
```

=====

The following is a PBE-GGA calculation of a geometry-optimized Nb3V8Au structure, from Alexandria via LeMat-Bulk.

## Properties
ΔH_f (0 K), eV per atom: -0.007
DFT total energy, eV/cell: -106.5

```
data_Nb3V8Au
_chemical_formula_sum 'Nb3 V8 Au1'
_cell_length_a 5.0613
_cell_length_b 5.0613
_cell_length_c 8.1855
_cell_angle_alpha 90.00
_cell_angle_beta 90.00
_cell_angle_gamma 120.00
_space_group_name_H-M_alt 'P 3 m 1'
_space_group_IT_number 156
loop_
_space_group_symop_operation_xyz
'x,y,z'
'-y,x-y,z'
'-x+y,-x,z'
'-y,-x,z'
'-x+y,y,z'
'x,x-y,z'
loop_
_atom_site_label
_atom_site_type_symbol
_atom_site_fract_x
_atom_site_fract_y
_atom_site_fract_z
Nb1 Nb 0.0000 0.0000 0.0000
Nb2 Nb 0.0000 0.0000 0.3746
Nb3 Nb 0.3333 0.6667 0.8768
V1 V 0.0006 0.5003 0.1895
V2 V 0.3258 0.1629 0.6876
V3 V 0.6667 0.3333 0.4351
V4 V 0.6667 0.3333 0.9348
Au1 Au 0.3333 0.6667 0.4992
```

=====

The following is a PBE-GGA calculation of a geometry-optimized CeEr2Mg structure, from Alexandria via LeMat-Bulk.

## Properties
ΔH_f (0 K), eV per atom: 0.088
DFT total energy, eV/cell: -65.2
Energy above the most stable polymorph in this dataset, eV per atom: 0.080

```
data_CeEr2Mg
_chemical_formula_sum 'Ce4 Er8 Mg4'
_cell_length_a 7.732
_cell_length_b 7.732
_cell_length_c 7.732
_cell_angle_alpha 90.00
_cell_angle_beta 90.00
_cell_angle_gamma 90.00
_space_group_name_H-M_alt 'F -4 3 m'
_space_group_IT_number 216
_space_group_name_Hall 'F -4 2 3'
loop_
_atom_site_label
_atom_site_type_symbol
_atom_site_fract_x
_atom_site_fract_y
_atom_site_fract_z
Ce1 Ce 0.000 0.000 0.000
Er1 Er 0.000 0.000 0.500
Er2 Er 0.250 0.250 0.750
Mg1 Mg 0.250 0.250 0.250
```

=====

The following is a PBE-GGA calculation of a geometry-optimized TbNi3Ge structure, from Alexandria via LeMat-Bulk.

## Properties
ΔH_f (0 K), eV per atom: -0.139
DFT total energy, eV/cell: -54.6

```
data_TbNi3Ge
_chemical_formula_sum 'Tb2 Ni6 Ge2'
_cell_length_a 5.419
_cell_length_b 7.127
_cell_length_c 4.426
_cell_angle_alpha 90.00
_cell_angle_beta 90.00
_cell_angle_gamma 90.00
_space_group_name_H-M_alt 'C m m m'
_space_group_IT_number 65
_space_group_name_Hall '-C 2 2'
loop_
_atom_site_label
_atom_site_type_symbol
_atom_site_fract_x
_atom_site_fract_y
_atom_site_fract_z
Tb1 Tb 0.000 0.000 0.000
Ni1 Ni 0.000 0.500 0.000
Ni2 Ni 0.250 0.250 0.500
Ge1 Ge 0.000 0.500 0.500
```

=====

The following is a PBE-GGA calculation of a geometry-optimized CrCdPdRh2 structure, from Alexandria via LeMat-Bulk.

## Properties
ΔH_f (0 K), eV per atom: 0.639
DFT total energy, eV/cell: -27.2

```
data_CrCdPdRh2
_chemical_formula_sum 'Cr1 Cd1 Pd1 Rh2'
_cell_length_a 4.457
_cell_length_b 4.457
_cell_length_c 4.643
_cell_angle_alpha 90.00
_cell_angle_beta 90.00
_cell_angle_gamma 90.00
_space_group_name_H-M_alt 'P 4/m m m'
_space_group_IT_number 123
_space_group_name_Hall '-P 4 2'
loop_
_atom_site_label
_atom_site_type_symbol
_atom_site_fract_x
_atom_site_fract_y
_atom_site_fract_z
Cr1 Cr 0.000 0.000 0.000
Cd1 Cd 0.500 0.500 0.500
Pd1 Pd 0.000 0.000 0.500
Rh1 Rh 0.000 0.500 0.000
```

=====

The following is a PBE-GGA calculation of a geometry-optimized Li2Ca2GaPd5 structure, from Alexandria via LeMat-Bulk.

## Properties
ΔH_f (0 K), eV per atom: -0.592
DFT total energy, eV/cell: -85.5

```
data_Li2Ca2GaPd5
_chemical_formula_sum 'Li4 Ca4 Ga2 Pd10'
_cell_length_a 9.658
_cell_length_b 9.658
_cell_length_c 3.609
_cell_angle_alpha 90.00
_cell_angle_beta 90.00
_cell_angle_gamma 90.00
_space_group_name_H-M_alt 'P 4/m b m'
_space_group_IT_number 127
_space_group_name_Hall '-P 4 2ab'
loop_
_atom_site_label
_atom_site_type_symbol
_atom_site_fract_x
_atom_site_fract_y
_atom_site_fract_z
Li1 Li 0.121 0.379 0.000
Ca1 Ca 0.179 0.679 0.000
Ga1 Ga 0.000 0.000 0.000
Pd1 Pd 0.000 0.500 0.500
Pd2 Pd 0.059 0.202 0.500
```

=====

The following is a PBE-GGA calculation of a geometry-optimized CoSb3H structure, from Alexandria via LeMat-Bulk.

## Properties
DFT total energy, eV/cell: -19.2
Energy above the most stable polymorph in this dataset, eV per atom: 0.000

```
data_CoSb3H
_chemical_formula_sum 'Co1 Sb3 H1'
_cell_length_a 4.907
_cell_length_b 4.907
_cell_length_c 4.907
_cell_angle_alpha 90.00
_cell_angle_beta 90.00
_cell_angle_gamma 90.00
_space_group_name_H-M_alt 'P m -3 m'
_space_group_IT_number 221
_space_group_name_Hall '-P 4 2 3'
loop_
_atom_site_label
_atom_site_type_symbol
_atom_site_fract_x
_atom_site_fract_y
_atom_site_fract_z
Co1 Co 0.000 0.000 0.000
Sb1 Sb 0.000 0.000 0.500
H1 H 0.500 0.500 0.500
```

=====

The following is a PBE-GGA calculation of a geometry-optimized CeMgAl2Au4 structure, from Alexandria via LeMat-Bulk.

## Properties
ΔH_f (0 K), eV per atom: -0.573
DFT total energy, eV/cell: -98.1

```
data_CeMgAl2Au4
_chemical_formula_sum 'Ce3 Mg3 Al6 Au12'
_cell_length_a 4.4984
_cell_length_b 4.4984
_cell_length_c 26.6788
_cell_angle_alpha 90.00
_cell_angle_beta 90.00
_cell_angle_gamma 120.00
_space_group_name_H-M_alt 'R -3 m'
_space_group_IT_number 166
_space_group_name_Hall '-R 3 2"'
loop_
_atom_site_label
_atom_site_type_symbol
_atom_site_fract_x
_atom_site_fract_y
_atom_site_fract_z
Ce1 Ce 0.0000 0.0000 0.0000
Mg1 Mg 0.0000 0.0000 0.5000
Al1 Al 0.0000 0.0000 0.2412
Au1 Au 0.0000 0.0000 0.1300
Au2 Au 0.0000 0.0000 0.3955
```

=====

The following is a PBE-GGA calculation of a geometry-optimized Pu3Tl2AuO12 structure, from Alexandria via LeMat-Bulk.

## Properties
DFT total energy, eV/cell: -427.3

```
data_Pu3Tl2AuO12
_chemical_formula_sum 'Pu9 Tl6 Au3 O36'
_cell_length_a 7.9768
_cell_length_b 7.9768
_cell_length_c 17.6644
_cell_angle_alpha 90.00
_cell_angle_beta 90.00
_cell_angle_gamma 120.00
_space_group_name_H-M_alt 'R -3 m'
_space_group_IT_number 166
_space_group_name_Hall '-R 3 2"'
loop_
_atom_site_label
_atom_site_type_symbol
_atom_site_fract_x
_atom_site_fract_y
_atom_site_fract_z
Pu1 Pu 0.0000 0.5000 0.0000
Tl1 Tl 0.0000 0.0000 0.1316
Au1 Au 0.0000 0.0000 0.5000
O1 O 0.0298 0.5149 0.1062
O2 O 0.0789 0.5395 0.3441
```

=====

The following is a PBE-GGA calculation of a geometry-optimized Y2CdP2 structure, from Alexandria via LeMat-Bulk.

## Properties
ΔH_f (0 K), eV per atom: -1.058
DFT total energy, eV/cell: -59.9

```
data_Y2CdP2
_chemical_formula_sum 'Y4 Cd2 P4'
_cell_length_a 7.569
_cell_length_b 7.569
_cell_length_c 3.727
_cell_angle_alpha 90.00
_cell_angle_beta 90.00
_cell_angle_gamma 90.00
_space_group_name_H-M_alt 'P 4/m b m'
_space_group_IT_number 127
_space_group_name_Hall '-P 4 2ab'
loop_
_atom_site_label
_atom_site_type_symbol
_atom_site_fract_x
_atom_site_fract_y
_atom_site_fract_z
Y1 Y 0.156 0.344 0.000
Cd1 Cd 0.000 0.000 0.500
P1 P 0.150 0.650 0.500
```

=====

The following is a PBE-GGA calculation of a geometry-optimized VCuMo2H structure, from Alexandria via LeMat-Bulk.

## Properties
DFT total energy, eV/cell: -37.8

```
data_VCuMo2H
_chemical_formula_sum 'V1 Cu1 Mo2 H1'
_cell_length_a 3.939
_cell_length_b 3.939
_cell_length_c 3.835
_cell_angle_alpha 90.00
_cell_angle_beta 90.00
_cell_angle_gamma 90.00
_space_group_name_H-M_alt 'P 4/m m m'
_space_group_IT_number 123
_space_group_name_Hall '-P 4 2'
loop_
_atom_site_label
_atom_site_type_symbol
_atom_site_fract_x
_atom_site_fract_y
_atom_site_fract_z
V1 V 0.000 0.000 0.000
Cu1 Cu 0.500 0.500 0.000
Mo1 Mo 0.000 0.500 0.500
H1 H 0.000 0.000 0.500
```

=====

The following is a PBE-GGA calculation of a geometry-optimized Ce6AlTl5 structure, from Alexandria via LeMat-Bulk.

## Properties
ΔH_f (0 K), eV per atom: -0.219
DFT total energy, eV/cell: -107.6

```
data_Ce6AlTl5
_chemical_formula_sum 'Ce12 Al2 Tl10'
_cell_length_a 5.848
_cell_length_b 6.639
_cell_length_c 17.306
_cell_angle_alpha 90.00
_cell_angle_beta 90.00
_cell_angle_gamma 90.00
_space_group_name_H-M_alt 'I m m m'
_space_group_IT_number 71
_space_group_name_Hall '-I 2 2'
loop_
_atom_site_label
_atom_site_type_symbol
_atom_site_fract_x
_atom_site_fract_y
_atom_site_fract_z
Ce1 Ce 0.000 0.207 0.000
Ce2 Ce 0.000 0.289 0.338
Al1 Al 0.000 0.500 0.500
Tl1 Tl 0.000 0.000 0.179
Tl2 Tl 0.000 0.000 0.500
Tl3 Tl 0.000 0.500 0.159
```